1.
Density functional theory data (PBE-GGA) for Rb2BaIrOs after structural relaxation.

Properties
E_tot	-3.686	eV/atom
D(E_F)	1.230	states/eV/atom
magnetization	1.126	μB/f.u.

extended XYZ file:
```
5
Lattice="6.181 0.000 0.000 0.000 6.181 0.000 0.000 0.000 4.854" Properties=species:S:1:pos:R:3 pbc="T T T"
Rb 0.000 3.090 0.000
Rb 3.090 0.000 0.000
Ba 0.000 0.000 2.427
Ir 3.090 3.090 2.427
Os 3.090 3.090 0.000
```

2.
Density functional theory data (PBE-GGA) for Al2HgRh after structural relaxation.

Properties
E_tot	-4.090	eV/atom
D(E_F)	0.310	states/eV/atom
magnetization	0.000	μB/f.u.

extended XYZ file:
```
4
Lattice="4.518 -1.716 0.000 4.518 1.716 0.000 -1.356 0.000 4.244" Properties=species:S:1:pos:R:3 pbc="T T T"
Al 0.000 0.000 0.000
Al 1.222 0.000 2.888
Hg 6.554 0.000 0.903
Rh 3.860 0.000 2.459
```